Density functional theory data (PBE) for crystalline LaAlAs2 at its relaxed geometry.

a b c (Å): 4.711 4.707 3.986
angles (deg): 90.00 90.00 90.00
Atoms (fractional coordinates):
As (0.000, 0.000, 0.000)
As (0.500, 0.500, 0.000)
Al (0.000, 0.500, 0.500)
La (0.500, 0.000, 0.500)

Its energy of formation is -0.639 eV/atom.

***

Density functional theory data (PBE) for crystalline AgPt2W at its relaxed geometry.

a b c (Å): 2.825 3.932 5.763
angles (deg): 90.00 90.00 90.00
Atoms (fractional coordinates):
Ag (0.500, 0.500, 0.750)
W (0.500, 0.500, 0.250)
Pt (0.000, 0.000, 0.014)
Pt (0.000, 0.000, 0.486)

Its energy of formation is -0.058 eV/atom. Its energy above the most stable polymorph in this dataset is 0.590 eV per formula unit.

***

Density functional theory data (PBE) for crystalline Ag2S6I at its relaxed geometry.

a b c (Å): 4.631 9.754 8.599
angles (deg): 89.26 48.58 88.39
Atoms (fractional coordinates):
Ag (0.532, 0.815, 0.992)
Ag (0.468, 0.185, 0.008)
S (0.041, 0.508, 0.254)
S (0.959, 0.492, 0.746)
S (0.747, 0.659, 0.703)
S (0.803, 0.325, 0.681)
S (0.197, 0.675, 0.319)
S (0.253, 0.341, 0.297)
I (0.000, 0.000, 0.000)

Its formation energy without anion corrections is 0.0982 eV per atom.